# 1
Material: LaCo2OsAu
Method: DFT, PBE
State: optimized geometry

Properties
As for the formation enthalpy at 0 K: 183.7 kJ per mole of atoms.

Cell and atoms, written as POSCAR:
```
LaCo2OsAu
1.0
4.5099 0.0000 0.0000
0.0000 4.5099 0.0000
0.0000 0.0000 4.8975
La Co Os Au
1 2 1 1
direct
0.0000 0.0000 0.0000
0.0000 0.5000 0.0000
0.5000 0.0000 0.0000
0.0000 0.0000 0.5000
0.5000 0.5000 0.5000
```


# 2
Material: LaCoOs2Au
Method: DFT, PBE
State: optimized geometry

Properties
As for the formation enthalpy at 0 K: 201.0 kJ per mole of atoms.

Cell and atoms, written as POSCAR:
```
LaCoOs2Au
1.0
4.9189 0.0000 0.0000
0.0000 4.9189 0.0000
0.0000 0.0000 5.3986
La Co Os Au
1 1 2 1
direct
0.0000 0.0000 0.0000
0.5000 0.5000 0.0000
0.0000 0.5000 0.5000
0.5000 0.0000 0.5000
0.0000 0.0000 0.5000
```


# 3
Material: La6CoPb2Au
Method: DFT, PBE
State: optimized geometry

Properties
As for the formation enthalpy at 0 K: -33.0 kJ per mole of atoms.

Cell and atoms, written as POSCAR:
```
La6CoPb2Au
1.0
-3.9809 3.9809 5.4689
3.9809 -3.9809 5.4689
3.9809 3.9809 -5.4689
La Co Pb Au
6 1 2 1
direct
0.2275 0.2275 0.0000
0.2436 0.2436 0.4872
0.2436 0.7564 0.0000
0.7564 0.2436 0.0000
0.7564 0.7564 0.5128
0.7725 0.7725 0.0000
0.0000 0.0000 0.0000
0.2500 0.7500 0.5000
0.7500 0.2500 0.5000
0.5000 0.5000 0.0000
```


# 4
Material: La7Co2Pb2Au
Method: DFT, PBE
State: optimized geometry

Properties
As for the formation enthalpy at 0 K: -34.2 kJ per mole of atoms.

Cell and atoms, written as POSCAR:
```
La7Co2Pb2Au
1.0
-2.5781 2.5781 14.0533
2.5781 -2.5781 14.0533
2.5781 2.5781 -14.0533
La Co Pb Au
7 2 2 1
direct
0.0000 0.0000 0.0000
0.0957 0.5957 0.5000
0.2031 0.2031 0.0000
0.4043 0.9043 0.5000
0.5957 0.0957 0.5000
0.7969 0.7969 0.0000
0.9043 0.4043 0.5000
0.0937 0.0937 0.0000
0.9063 0.9063 0.0000
0.3195 0.3195 0.0000
0.6805 0.6805 0.0000
0.5000 0.5000 0.0000
```


# 5
Material: La2Pm2CoAu2
Method: DFT, PBE
State: optimized geometry

Properties
As for the formation enthalpy at 0 K: -43.5 kJ per mole of atoms.

Cell and atoms, written as POSCAR:
```
La2Pm2CoAu2
1.0
7.3221 -2.0431 0.0000
7.3221 2.0431 0.0000
-2.8805 0.0000 6.6380
La Pm Co Au
2 2 1 2
direct
0.2007 0.2007 0.2168
0.7993 0.7993 0.7832
0.4800 0.4800 0.2407
0.5200 0.5200 0.7593
0.0000 0.0000 0.0000
0.1248 0.1248 0.5755
0.8752 0.8752 0.4245
```


# 6
Material: LaPmCoAu
Method: DFT, PBE
State: optimized geometry

Properties
As for the formation enthalpy at 0 K: -30.5 kJ per mole of atoms.

Cell and atoms, written as POSCAR:
```
LaPmCoAu
1.0
0.0000 3.6252 3.6252
3.6252 0.0000 3.6252
3.6252 3.6252 0.0000
La Pm Co Au
1 1 1 1
direct
0.0000 0.0000 0.0000
0.5000 0.5000 0.5000
0.7500 0.7500 0.7500
0.2500 0.2500 0.2500
```


# 7
Material: La2Pr2CoAu2
Method: DFT, PBE
State: optimized geometry

Properties
As for the formation enthalpy at 0 K: -41.3 kJ per mole of atoms.

Cell and atoms, written as POSCAR:
```
La2Pr2CoAu2
1.0
4.1155 0.0000 0.0000
-0.0059 7.3747 0.0000
-2.0487 -2.9878 6.7138
La Pr Co Au
2 2 1 2
direct
0.2007 0.2222 0.4003
0.7993 0.7778 0.5997
0.4773 0.2388 0.9547
0.5227 0.7612 0.0453
0.0000 0.0000 0.0000
0.1268 0.5744 0.2540
0.8732 0.4256 0.7460
```


# 8
Material: La3Pr3CoAu2
Method: DFT, PBE
State: optimized geometry

Properties
As for the formation enthalpy at 0 K: -36.0 kJ per mole of atoms.

Cell and atoms, written as POSCAR:
```
La3Pr3CoAu2
1.0
8.6138 0.0000 0.0000
-4.3069 7.4597 0.0000
0.0000 0.0000 3.9512
La Pr Co Au
3 3 1 2
direct
0.0000 0.7684 0.0000
0.2316 0.2316 0.0000
0.7684 0.0000 0.0000
0.0000 0.4169 0.5000
0.4169 0.0000 0.5000
0.5831 0.5831 0.5000
0.0000 0.0000 0.5000
0.3333 0.6667 0.0000
0.6667 0.3333 0.0000
```


# 9
Material: La2PrCoAu
Method: DFT, PBE
State: optimized geometry

Properties
As for the formation enthalpy at 0 K: -19.3 kJ per mole of atoms.

Cell and atoms, written as POSCAR:
```
La2PrCoAu
1.0
5.2063 0.0000 0.0000
0.0000 5.2063 0.0000
0.0000 0.0000 5.5880
La Pr Co Au
2 1 1 1
direct
0.0000 0.5000 0.0000
0.5000 0.0000 0.0000
0.0000 0.0000 0.5265
0.0000 0.0000 0.0368
0.5000 0.5000 0.6377
```


# 10
Material: LaPrCoAu
Method: DFT, PBE
State: optimized geometry

Properties
As for the formation enthalpy at 0 K: -28.2 kJ per mole of atoms.

Cell and atoms, written as POSCAR:
```
LaPrCoAu
1.0
0.0000 3.6515 3.6515
3.6515 0.0000 3.6515
3.6515 3.6515 0.0000
La Pr Co Au
1 1 1 1
direct
0.0000 0.0000 0.0000
0.5000 0.5000 0.5000
0.7500 0.7500 0.7500
0.2500 0.2500 0.2500
```


# 11
Material: La8CoPtAu2
Method: DFT, PBE
State: optimized geometry

Properties
As for the formation enthalpy at 0 K: -41.6 kJ per mole of atoms.

Cell and atoms, written as POSCAR:
```
La8CoPtAu2
1.0
5.9896 0.0000 0.0000
2.8316 7.0306 0.0000
0.0039 0.0060 9.2411
La Co Pt Au
8 1 1 2
direct
0.0098 0.2371 0.0005
0.0509 0.2196 0.4997
0.4549 0.7706 0.7401
0.4558 0.7692 0.2597
0.5442 0.2308 0.7403
0.5451 0.2294 0.2599
0.9491 0.7804 0.5003
0.9902 0.7629 0.9995
0.5000 0.0000 0.5000
0.5000 0.0000 0.0000
0.0013 0.5004 0.2507
0.9987 0.4996 0.7493
```


# 12
Material: RbLa2CoAu
Method: DFT, PBE
State: optimized geometry

Properties
As for the formation enthalpy at 0 K: -0.4 kJ per mole of atoms.

Cell and atoms, written as POSCAR:
```
RbLa2CoAu
1.0
5.2510 0.0000 0.0000
0.0000 5.2510 0.0000
0.0000 0.0000 5.3947
Rb La Co Au
1 2 1 1
direct
0.0000 0.0000 0.0000
0.0000 0.5000 0.5000
0.5000 0.0000 0.5000
0.5000 0.5000 0.5000
0.5000 0.5000 0.0000
```


# 13
Material: La5CoRhAu2
Method: DFT, PBE
State: optimized geometry

Properties
As for the formation enthalpy at 0 K: -53.5 kJ per mole of atoms.

Cell and atoms, written as POSCAR:
```
La5CoRhAu2
1.0
2.5028 -8.6218 0.0000
2.5028 8.6218 0.0000
0.0000 0.0000 11.0919
La Co Rh Au
10 2 2 4
direct
0.0054 0.9946 0.5000
0.1454 0.8546 0.7580
0.1943 0.8057 0.1086
0.2080 0.7920 0.4223
0.4707 0.5293 0.7496
0.5293 0.4707 0.2496
0.7920 0.2080 0.9223
0.8057 0.1943 0.6086
0.8546 0.1454 0.2580
0.9946 0.0054 0.0000
0.0596 0.9404 0.2654
0.9404 0.0596 0.7654
0.2985 0.7015 0.7686
0.7015 0.2985 0.2686
0.3781 0.6219 0.0519
0.3891 0.6109 0.4593
0.6109 0.3891 0.9593
0.6219 0.3781 0.5519
```


# 14
Material: LaCoRhAu2
Method: DFT, PBE
State: optimized geometry

Properties
As for the formation enthalpy at 0 K: -1.6 kJ per mole of atoms.

Cell and atoms, written as POSCAR:
```
LaCoRhAu2
1.0
4.8252 0.0000 0.0000
0.0000 4.8252 0.0000
0.0000 0.0000 4.6343
La Co Rh Au
1 1 1 2
direct
0.0000 0.0000 0.0000
0.5000 0.5000 0.5000
0.5000 0.5000 0.0000
0.0000 0.5000 0.5000
0.5000 0.0000 0.5000
```


# 15
Material: La2Sm2CoAu2
Method: DFT, PBE
State: optimized geometry

Properties
As for the formation enthalpy at 0 K: -44.2 kJ per mole of atoms.

Cell and atoms, written as POSCAR:
```
La2Sm2CoAu2
1.0
7.3097 -2.0389 0.0000
7.3097 2.0389 0.0000
-2.8528 0.0000 6.6042
La Sm Co Au
2 2 1 2
direct
0.2007 0.2007 0.2154
0.7993 0.7993 0.7846
0.4808 0.4808 0.2410
0.5192 0.5192 0.7590
0.0000 0.0000 0.0000
0.1240 0.1240 0.5760
0.8760 0.8760 0.4240
```


# 16
Material: SrLaCoAu2
Method: DFT, PBE
State: optimized geometry

Properties
As for the formation enthalpy at 0 K: 2.0 kJ per mole of atoms.

Cell and atoms, written as POSCAR:
```
SrLaCoAu2
1.0
5.1074 0.0000 0.0000
0.0000 5.1074 0.0000
0.0000 0.0000 4.7941
Sr La Co Au
1 1 1 2
direct
0.0000 0.0000 0.0000
0.5000 0.5000 0.0000
0.0000 0.0000 0.5000
0.0000 0.5000 0.5000
0.5000 0.0000 0.5000
```


# 17
Material: La4TlCoAu
Method: DFT, PBE
State: optimized geometry

Properties
As for the formation enthalpy at 0 K: -31.0 kJ per mole of atoms.

Cell and atoms, written as POSCAR:
```
La4TlCoAu
1.0
3.6603 -8.1135 0.0000
3.6603 8.1135 0.0000
0.0000 0.0000 7.3004
La Tl Co Au
8 2 2 2
direct
0.0000 0.5000 0.0000
0.0000 0.5000 0.5000
0.0631 0.9369 0.7500
0.4222 0.5778 0.7500
0.5000 0.0000 0.0000
0.5000 0.0000 0.5000
0.5778 0.4222 0.2500
0.9369 0.0631 0.2500
0.3865 0.6135 0.2500
0.6135 0.3865 0.7500
0.2442 0.7558 0.7500
0.7558 0.2442 0.2500
0.1215 0.8785 0.2500
0.8785 0.1215 0.7500
```


# 18
Material: La2TlCoAu
Method: DFT, PBE
State: optimized geometry

Properties
The offset from the most stable computed form comes out at 0.034 eV/atom. As for the formation enthalpy at 0 K: -28.0 kJ per mole of atoms.

Cell and atoms, written as POSCAR:
```
La2TlCoAu
1.0
5.1535 0.0000 0.0000
0.0000 5.1535 0.0000
0.0000 0.0000 5.0372
La Tl Co Au
2 1 1 1
direct
0.0000 0.5000 0.0000
0.5000 0.0000 0.0000
0.0000 0.0000 0.5000
0.5000 0.5000 0.0000
0.5000 0.5000 0.5000
```


# 19
Material: La2TlCoAu
Method: DFT, PBE
State: optimized geometry

Properties
The offset from the most stable computed form comes out at 0.000 eV/atom. As for the formation enthalpy at 0 K: -31.3 kJ per mole of atoms.

Cell and atoms, written as POSCAR:
```
La2TlCoAu
1.0
5.2375 0.0000 0.0000
0.0000 5.2375 0.0000
0.0000 0.0000 4.9577
La Tl Co Au
2 1 1 1
direct
0.0000 0.5000 0.0000
0.5000 0.0000 0.0000
0.0000 0.0000 0.5000
0.0000 0.0000 0.0000
0.5000 0.5000 0.5000
```


# 20
Material: La2ZnCoAu
Method: DFT, PBE
State: optimized geometry

Properties
As for the formation enthalpy at 0 K: -35.9 kJ per mole of atoms.

Cell and atoms, written as POSCAR:
```
La2ZnCoAu
1.0
5.2142 0.0000 0.0000
0.0000 5.2142 0.0000
0.0000 0.0000 4.6356
La Zn Co Au
2 1 1 1
direct
0.0000 0.5000 0.0000
0.5000 0.0000 0.0000
0.0000 0.0000 0.5000
0.0000 0.0000 0.0000
0.5000 0.5000 0.5000
```